[1]
{"formula": "BaNa2GeCl", "functional": "GGA-PBE", "state": "relaxed", "e_form_raw_ev_per_atom": -0.66, "density_g_cm3": 2.9, "cell": [[5.1478, 0.0000, 0.0000], [0.0000, 5.1478, 0.0000], [0.0000, 0.0000, 6.2147]], "species": ["Ba", "Na", "Na", "Ge", "Cl"], "fractional_positions": [[0.0000, 0.0000, 0.0000], [0.0000, 0.5000, 0.5000], [0.5000, 0.0000, 0.5000], [0.5000, 0.5000, 0.0000], [0.0000, 0.0000, 0.5000]]}


[2]
{"formula": "BaNb2GeCl", "functional": "GGA-PBE", "state": "relaxed", "e_form_raw_ev_per_atom": 1.99, "density_g_cm3": 4.1, "cell": [[5.6492, 0.0000, 0.0000], [0.0000, 5.6492, 0.0000], [0.0000, 0.0000, 5.4890]], "species": ["Ba", "Nb", "Nb", "Ge", "Cl"], "fractional_positions": [[0.0000, 0.0000, 0.0000], [0.0000, 0.5000, 0.0000], [0.5000, 0.0000, 0.0000], [0.5000, 0.5000, 0.5000], [0.0000, 0.0000, 0.5000]]}


[3]
{"formula": "Ba2NiGeCl", "functional": "GGA-PBE", "state": "relaxed", "e_form_raw_ev_per_atom": -0.86, "density_g_cm3": 4.5, "cell": [[6.0796, 0.0000, 0.0000], [0.0000, 6.0796, 0.0000], [0.0000, 0.0000, 4.4214]], "species": ["Ba", "Ba", "Ni", "Ge", "Cl"], "fractional_positions": [[0.0000, 0.5000, 0.0000], [0.5000, 0.0000, 0.0000], [0.0000, 0.0000, 0.0000], [0.0000, 0.0000, 0.5000], [0.5000, 0.5000, 0.5000]]}


[4]
{"formula": "Ba2GeCl2O2", "functional": "GGA-PBE", "state": "relaxed", "e_form_raw_ev_per_atom": -2.00, "density_g_cm3": 3.9, "cell": [[6.0331, -2.2041, 0.0000], [6.0331, 2.2041, 0.0000], [-2.0545, 0.0000, 7.2440]], "species": ["Ba", "Ba", "Ge", "Cl", "Cl", "O", "O"], "fractional_positions": [[0.1851, 0.1851, 0.2648], [0.8149, 0.8149, 0.7352], [0.5000, 0.5000, 0.5000], [0.1140, 0.1140, 0.8197], [0.8860, 0.8860, 0.1803], [0.3560, 0.3560, 0.5768], [0.6440, 0.6440, 0.4232]]}


[5]
{"formula": "Ba2GeClO4", "functional": "GGA-PBE", "state": "relaxed", "e_form_raw_ev_per_atom": -1.90, "density_g_cm3": 4.7, "cell": [[4.4813, -1.8475, 0.0000], [4.4813, 1.8475, 0.0000], [-3.2863, 0.0000, 9.6011]], "species": ["Ba", "Ba", "Ge", "Cl", "O", "O", "O", "O"], "fractional_positions": [[0.1775, 0.1775, 0.2593], [0.8225, 0.8225, 0.7407], [0.0000, 0.0000, 0.5000], [0.5000, 0.5000, 0.0000], [0.1009, 0.1009, 0.6821], [0.3835, 0.3835, 0.5259], [0.6165, 0.6165, 0.4741], [0.8991, 0.8991, 0.3179]]}


[6]
{"formula": "BaGeClO2", "functional": "GGA-PBE", "state": "relaxed", "e_form_raw_ev_per_atom": -1.98, "density_g_cm3": 4.3, "cell": [[2.9041, -6.7744, 0.0000], [2.9041, 6.7744, 0.0000], [0.0000, 0.0000, 5.4392]], "species": ["Ba", "Ba", "Ge", "Ge", "Cl", "Cl", "O", "O", "O", "O"], "fractional_positions": [[0.1302, 0.8698, 0.7500], [0.8698, 0.1302, 0.2500], [0.4567, 0.5433, 0.7500], [0.5433, 0.4567, 0.2500], [0.2551, 0.7449, 0.2500], [0.7449, 0.2551, 0.7500], [0.2888, 0.2888, 0.0000], [0.2888, 0.2888, 0.5000], [0.7112, 0.7112, 0.0000], [0.7112, 0.7112, 0.5000]]}


Q: What is the formula in the first record?
A: BaNa2GeCl


Q: Number 2 is which compound?
A: BaNb2GeCl